Density functional theory data (PBE) for Na3PmHo2Se6 after structural relaxation.

a = 7.2250 Å, b = 7.2250 Å, c = 7.4125 Å
α = 99.36°, β = 99.36°, γ = 120.00°
With the nearest neighbours (Å) after each atom.
Positions (direct):
Na 0.1656 0.8344 0.5000  6 Se 3.03-3.08
Na 0.8344 0.1656 0.5000  6 Se 3.03-3.08
Na 0.5000 0.5000 0.5000  6 Se 3.02-3.08
Pm 0.0000 0.0000 0.0000  6 Se 2.94-2.95
Ho 0.3331 0.6669 0.0000  6 Se 2.88
Ho 0.6669 0.3331 0.0000  6 Se 2.88
Se 0.9231 0.5825 0.7697  2 Ho 2.88, 1 Pm 2.94, 3 Na 3.03-3.08
Se 0.7363 0.7363 0.2308  2 Ho 2.88, 1 Pm 2.95, 3 Na 3.02-3.07
Se 0.0769 0.4175 0.2303  2 Ho 2.88, 1 Pm 2.94, 3 Na 3.03-3.08
Se 0.5825 0.9231 0.7697  2 Ho 2.88, 1 Pm 2.94, 3 Na 3.03-3.08
Se 0.2637 0.2637 0.7692  2 Ho 2.88, 1 Pm 2.95, 3 Na 3.02-3.07
Se 0.4175 0.0769 0.2303  2 Ho 2.88, 1 Pm 2.94, 3 Na 3.03-3.08

**Total DFT energy (no corrections)**: -4.931 eV per atom